# BaCu2Rh meta-GGA SCAN PBEsol geometry
data_BaCu2Rh
_chemical_formula_sum 'Ba1 Cu2 Rh1'
_symmetry_space_group_name_H-M 'P 4/m m m'
_symmetry_Int_Tables_number 123
_symmetry_space_group_name_Hall '-P 4 2'
_cell_length_a 4.135
_cell_length_b 4.135
_cell_length_c 4.200
_cell_angle_alpha 90.00
_cell_angle_beta 90.00
_cell_angle_gamma 90.00
loop_
_atom_site_label
_atom_site_fract_x
_atom_site_fract_y
_atom_site_fract_z
Ba1 0.000 0.000 0.000
Cu1 0.000 0.500 0.500
Rh1 0.500 0.500 0.000
# V   17.95 A^3/atom
# ΔE_f   481 meV/atom



# BaCu2Rh meta-GGA SCAN PBEsol geometry
data_BaCu2Rh
_chemical_formula_sum 'Ba2 Cu4 Rh2'
_symmetry_space_group_name_H-M 'C 1 m 1'
_symmetry_Int_Tables_number 8
_cell_length_a 7.407
_cell_length_b 4.278
_cell_length_c 5.920
_cell_angle_alpha 90.00
_cell_angle_beta 114.98
_cell_angle_gamma 90.00
loop_
_symmetry_equiv_pos_as_xyz
'x,y,z'
'x,-y,z'
'x+1/2,y+1/2,z'
'x+1/2,-y+1/2,z'
loop_
_atom_site_label
_atom_site_fract_x
_atom_site_fract_y
_atom_site_fract_z
Ba1 0.000 0.000 0.000
Cu1 0.003 0.500 0.509
Cu2 0.317 0.500 0.450
Rh1 0.186 0.000 0.556
# V   21.25 A^3/atom
# ΔE_f   -98 meV/atom



# Ba2CuRh meta-GGA SCAN PBEsol geometry
data_Ba2CuRh
_chemical_formula_sum 'Ba4 Cu2 Rh2'
_symmetry_space_group_name_H-M 'A m m 2'
_symmetry_Int_Tables_number 38
_cell_length_a 4.517
_cell_length_b 4.569
_cell_length_c 11.152
_cell_angle_alpha 90.00
_cell_angle_beta 90.00
_cell_angle_gamma 90.00
loop_
_symmetry_equiv_pos_as_xyz
'x,y,z'
'-x,-y,z'
'-x,y,z'
'x,-y,z'
'x,y+1/2,z+1/2'
'-x,-y+1/2,z+1/2'
'-x,y+1/2,z+1/2'
'x,-y+1/2,z+1/2'
loop_
_atom_site_label
_atom_site_fract_x
_atom_site_fract_y
_atom_site_fract_z
Ba1 0.000 0.000 0.000
Ba2 0.500 0.000 0.286
Cu1 0.500 0.000 0.595
Rh1 0.000 0.000 0.688
# V   28.77 A^3/atom
# ΔE_f   -130 meV/atom



# BaCu2Rh meta-GGA SCAN PBEsol geometry
data_BaCu2Rh
_chemical_formula_sum 'Ba2 Cu4 Rh2'
_symmetry_space_group_name_H-M 'C 1 2/m 1'
_symmetry_Int_Tables_number 12
_cell_length_a 7.397
_cell_length_b 4.262
_cell_length_c 5.881
_cell_angle_alpha 90.00
_cell_angle_beta 114.67
_cell_angle_gamma 90.00
loop_
_symmetry_equiv_pos_as_xyz
'x,y,z'
'-x,-y,-z'
'-x,y,-z'
'x,-y,z'
'x+1/2,y+1/2,z'
'-x+1/2,-y+1/2,-z'
'-x+1/2,y+1/2,-z'
'x+1/2,-y+1/2,z'
loop_
_atom_site_label
_atom_site_fract_x
_atom_site_fract_y
_atom_site_fract_z
Ba1 0.000 0.000 0.000
Cu1 0.187 0.000 0.561
Rh1 0.000 0.500 0.500
# V   21.06 A^3/atom
# ΔE_f   -97 meV/atom



# Ba2CuRh meta-GGA SCAN PBEsol geometry
data_Ba2CuRh
_chemical_formula_sum 'Ba6 Cu3 Rh3'
_symmetry_space_group_name_H-M 'R 3 m'
_symmetry_Int_Tables_number 160
_symmetry_space_group_name_Hall 'R 3 -2"'
_cell_length_a 4.3609
_cell_length_b 4.3609
_cell_length_c 24.5282
_cell_angle_alpha 90.00
_cell_angle_beta 90.00
_cell_angle_gamma 120.00
loop_
_atom_site_label
_atom_site_fract_x
_atom_site_fract_y
_atom_site_fract_z
Ba1 0.0000 0.0000 0.0000
Ba2 0.0000 0.0000 0.1639
Cu1 0.0000 0.0000 0.7487
Rh1 0.0000 0.0000 0.4152
# V   33.66 A^3/atom
# ΔE_f   -185 meV/atom



# BaCu2SiRh meta-GGA SCAN PBEsol geometry
data_BaCu2SiRh
_chemical_formula_sum 'Ba1 Cu2 Si1 Rh1'
_symmetry_space_group_name_H-M 'P 4/m m m'
_symmetry_Int_Tables_number 123
_symmetry_space_group_name_Hall '-P 4 2'
_cell_length_a 4.331
_cell_length_b 4.331
_cell_length_c 6.017
_cell_angle_alpha 90.00
_cell_angle_beta 90.00
_cell_angle_gamma 90.00
loop_
_atom_site_label
_atom_site_fract_x
_atom_site_fract_y
_atom_site_fract_z
Ba1 0.000 0.000 0.000
Cu1 0.000 0.500 0.500
Si1 0.000 0.000 0.500
Rh1 0.500 0.500 0.000
# V   22.57 A^3/atom
# ΔE_f (raw)   0.718 eV per atom